No. 1
This record from the Open Quantum Materials Database describes a relaxed structure of NbSn2N. The functional is PBE.

The raw total energy comes out at -6.248 eV per atom. The crystal system is hexagonal.

Cell lengths 3.1884, 3.1884, 15.3097 Å; angles 90.00, 90.00, 120.00 degrees
Closest atoms and distances in Å follow each position.
Atoms (fractional coordinates):
Nb1 0.3333 0.6667 0.2500  6 Sn 2.95, 6 Nb 3.19
Nb2 0.6667 0.3333 0.7500  6 Sn 2.95, 6 Nb 3.19
Sn1 0.3333 0.6667 0.5995  3 N 2.39
Sn2 0.3333 0.6667 0.9005  3 N 2.39
Sn3 0.6667 0.3333 0.0995  3 N 2.39
Sn4 0.6667 0.3333 0.4005  3 N 2.39
N1 0.0000 0.0000 0.0000  6 Sn 2.39
N2 0.0000 0.0000 0.5000  6 Sn 2.39

---

No. 2
This record from the Open Quantum Materials Database describes a relaxed structure of TmNb2Si2P. The functional is PBE.

The raw total energy comes out at -7.122 eV per atom. The crystal system is tetragonal.

Cell lengths 3.9059, 3.9059, 7.7691 Å; angles 90.00, 90.00, 90.00 degrees
Closest atoms and distances in Å follow each position.
Atoms (fractional coordinates):
Tm1 0.0000 0.0000 0.0000  5 Si 2.91-2.95
Nb1 0.0000 0.5000 0.3600  4 Si 2.72-2.81, 4 Nb 2.76, 2 P 2.76
Nb2 0.5000 0.0000 0.3600  4 Si 2.72-2.81, 4 Nb 2.76, 2 P 2.76
Si1 0.0000 0.0000 0.6201  4 P 2.76, 4 Nb 2.81, 1 Tm 2.95
Si2 0.5000 0.5000 0.1168  4 Nb 2.72, 4 Tm 2.91
P1 0.5000 0.5000 0.6118  4 Si 2.76, 4 Nb 2.76

---

No. 3
This record from the Open Quantum Materials Database describes a relaxed structure of RbTaPO. The functional is PBE.

The raw total energy comes out at -6.814 eV per atom. Its energy above the lowest structure with this stoichiometry is 0.000 eV/atom. The crystal system is orthorhombic.

Cell lengths 3.4925, 7.4788, 7.3310 Å; angles 90.00, 90.00, 90.00 degrees
Closest atoms and distances in Å follow each position.
Atoms (fractional coordinates):
Rb1 0.0000 0.2094 0.0000  1 O 2.90
Rb2 0.0000 0.7906 0.5000  1 O 2.90
Ta1 0.5000 0.3069 0.4778  2 O 2.00
Ta2 0.5000 0.6931 0.9778  2 O 2.00
P1 0.5000 0.4892 0.7373  2 Ta 2.33-2.34
P2 0.5000 0.5108 0.2373  2 Ta 2.33-2.34
O1 0.0000 0.1772 0.4642  2 Ta 2.00
O2 0.0000 0.8228 0.9642  2 Ta 2.00

---

No. 4
This record from the Open Quantum Materials Database describes a relaxed structure of DyHo3Pt4. The functional is PBE.

The raw total energy comes out at -6.618 eV per atom. The formation enthalpy at 0 K is -1.30 eV/atom. The crystal system is monoclinic.

Cell lengths 5.5532, 4.4910, 6.9996 Å; angles 90.00, 90.08, 90.00 degrees
Closest atoms and distances in Å follow each position.
Atoms (fractional coordinates):
Dy1 0.0000 0.0000 0.0000  7 Pt 2.86-3.03
Ho1 0.2194 0.0000 0.5000  7 Pt 2.86-3.02
Ho2 0.4999 0.5000 0.1365  7 Pt 2.86-3.03
Ho3 0.7191 0.5000 0.6361  7 Pt 2.86-3.02
Pt1 0.0153 0.5000 0.2746  5 Ho 2.86-3.02, 2 Pt 2.90, 2 Dy 2.96
Pt2 0.2046 0.5000 0.7725  5 Ho 2.86-3.03, 2 Pt 2.90, 2 Dy 2.98
Pt3 0.5149 0.0000 0.8625  2 Dy 2.86-3.02, 2 Pt 2.90, 5 Ho 2.95-3.02
Pt4 0.7036 0.0000 0.3634  6 Ho 2.86-3.02, 2 Pt 2.90, 1 Dy 3.03

---

No. 5
This record from the Open Quantum Materials Database describes a relaxed structure of SmSbIr. The functional is PBE.

The raw total energy comes out at -6.603 eV per atom. The crystal system is orthorhombic.

Cell lengths 5.9404, 4.4289, 10.7169 Å; angles 90.00, 90.00, 90.00 degrees
Closest atoms and distances in Å follow each position.
Atoms (fractional coordinates):
Sm1 0.1422 0.2500 0.1316  1 Ir 2.91, 3 Sb 3.19-3.21
Sm2 0.3578 0.7500 0.6316  1 Ir 2.91, 3 Sb 3.19-3.21
Sm3 0.6422 0.2500 0.3684  1 Ir 2.91, 3 Sb 3.19-3.21
Sm4 0.8578 0.7500 0.8684  1 Ir 2.91, 3 Sb 3.19-3.21
Sb1 0.2365 0.7500 0.3414  2 Ir 2.63
Sb2 0.2635 0.2500 0.8414  2 Ir 2.63
Sb3 0.7365 0.7500 0.1586  2 Ir 2.63
Sb4 0.7635 0.2500 0.6586  2 Ir 2.63
Ir1 0.1074 0.2500 0.4532  2 Sb 2.63, 2 Ir 2.75, 1 Sm 2.91
Ir2 0.3926 0.7500 0.9532  2 Sb 2.63, 2 Ir 2.75, 1 Sm 2.91
Ir3 0.6074 0.2500 0.0468  2 Sb 2.63, 2 Ir 2.75, 1 Sm 2.91
Ir4 0.8926 0.7500 0.5468  2 Sb 2.63, 2 Ir 2.75, 1 Sm 2.91

---

No. 6
This record from the Open Quantum Materials Database describes a relaxed structure of YCoSi2Ni. The functional is PBE.

The raw total energy comes out at -6.821 eV per atom. The crystal system is tetragonal.

Cell lengths 5.5660, 5.5660, 5.5660 Å; angles 138.76, 138.76, 59.74 degrees
Closest atoms and distances in Å follow each position.
Atoms (fractional coordinates):
Y1 0.0000 0.0000 0.0000  8 Si 3.03, 4 Co 3.11, 4 Ni 3.11
Co1 0.2500 0.7500 0.5000  4 Si 2.29
Si1 0.3730 0.3730 0.0000  2 Ni 2.29, 2 Co 2.29, 1 Si 2.45
Si2 0.6270 0.6270 0.0000  2 Co 2.29, 2 Ni 2.29, 1 Si 2.45
Ni1 0.7500 0.2500 0.5000  4 Si 2.29

---

No. 7
This record from the Open Quantum Materials Database describes a relaxed structure of RbFeCuOs. The functional is PBE.

The raw total energy comes out at -4.407 eV per atom. Its energy above the lowest structure with this stoichiometry is 0.084 eV/atom. The crystal system is cubic.

Cell lengths 4.6443, 4.6443, 4.6443 Å; angles 60.00, 60.00, 60.00 degrees
Closest atoms and distances in Å follow each position.
Atoms (fractional coordinates):
Rb1 0.0000 0.0000 0.0000  4 Cu 2.84, 4 Os 2.84
Fe1 0.5000 0.5000 0.5000  4 Os 2.84, 4 Cu 2.84
Cu1 0.7500 0.7500 0.7500  4 Fe 2.84, 4 Rb 2.84
Os1 0.2500 0.2500 0.2500  4 Fe 2.84, 4 Rb 2.84

---

No. 8
This record from the Open Quantum Materials Database describes a relaxed structure of SrMgCdSn2. The functional is PBE.

The raw total energy comes out at -2.821 eV per atom. Its energy above the lowest structure with this stoichiometry is 0.000 eV/atom. The crystal system is tetragonal.

Cell lengths 4.8288, 4.8288, 12.3328 Å; angles 90.00, 90.00, 90.00 degrees
Closest atoms and distances in Å follow each position.
Atoms (fractional coordinates):
Sr1 0.2500 0.2500 0.2468  4 Cd 3.67, 8 Sn 3.70-3.89, 4 Mg 3.95
Sr2 0.7500 0.7500 0.7532  4 Cd 3.67, 8 Sn 3.70-3.89, 4 Mg 3.95
Mg1 0.2500 0.7500 0.5000  4 Sn 2.95
Mg2 0.7500 0.2500 0.5000  4 Sn 2.95
Cd1 0.2500 0.2500 0.8629  5 Sn 2.78-2.95
Cd2 0.7500 0.7500 0.1371  5 Sn 2.78-2.95
Sn1 0.2500 0.2500 0.6371  1 Cd 2.78, 4 Mg 2.95
Sn2 0.2500 0.7500 0.0000  4 Cd 2.95
Sn3 0.7500 0.2500 0.0000  4 Cd 2.95
Sn4 0.7500 0.7500 0.3629  1 Cd 2.78, 4 Mg 2.95

---

No. 9
This record from the Open Quantum Materials Database describes a relaxed structure of TlFeCuRe. The functional is PBE.

The raw total energy comes out at -5.945 eV per atom. Its energy above the lowest structure with this stoichiometry is 0.000 eV/atom. The crystal system is cubic.

Cell lengths 4.3929, 4.3929, 4.3929 Å; angles 60.00, 60.00, 60.00 degrees
Closest atoms and distances in Å follow each position.
Atoms (fractional coordinates):
Tl1 0.0000 0.0000 0.0000  4 Fe 2.69, 4 Cu 2.69
Fe1 0.7500 0.7500 0.7500  4 Re 2.69, 4 Tl 2.69
Cu1 0.2500 0.2500 0.2500  4 Re 2.69, 4 Tl 2.69
Re1 0.5000 0.5000 0.5000  4 Fe 2.69, 4 Cu 2.69

---

Which formula does entry 3 have?
RbTaPO

---

What is the formula in the fourth record?
DyHo3Pt4

---

Which of these has the highest raw total energy?
SrMgCdSn2